No. 1
## Ti3AgC (GGA-PBE)

Data for a geometry-optimized Ti3AgC structure.

Output
Distance to the lowest polymorph of the same formula in kJ/mol of atoms: 0.0
E_form in eV/atom: -0.3701

extended XYZ file:
```
5
Lattice="4.2071 0.0000 0.0000 0.0000 4.2071 0.0000 0.0000 0.0000 4.2071" Properties=species:S:1:pos:R:3 pbc="T T T"
Ti 0.0000 0.0000 2.1036
Ti 0.0000 2.1036 0.0000
Ti 2.1036 0.0000 0.0000
C 0.0000 0.0000 0.0000
Ag 2.1036 2.1036 2.1036
```

No. 2
## Li3Mg7 (GGA-PBE)

Data for a geometry-optimized Li3Mg7 structure.

Output
Distance to the lowest polymorph of the same formula in kJ/mol of atoms: 0.0
E_form in eV/atom: -0.0409

extended XYZ file:
```
10
Lattice="4.6734 0.0000 -1.4335 -0.5738 5.7350 -1.8706 -0.1322 0.2063 7.9034" Properties=species:S:1:pos:R:3 pbc="T T T"
Mg 1.6779 0.7352 5.4702
Mg 2.2894 5.2060 -0.8709
Mg 3.2416 4.3046 2.2333
Mg 1.4121 3.6359 4.6035
Mg 2.5553 2.3054 -0.0042
Mg 0.7258 1.6367 2.3660
Mg -0.2869 2.8675 -0.9353
Li 0.4309 4.5090 1.4049
Li 3.5364 1.4323 3.1944
Li 0.0000 0.0000 0.0000
```

No. 3
## GdNiAs (GGA-PBE)

Data for a geometry-optimized GdNiAs structure.

Output
E_form in eV/atom: -1.0560

extended XYZ file:
```
3
Lattice="-1.5614 3.5851 0.6282 -0.8836 0.3095 -3.9631 -3.5912 -1.3197 -1.3945" Properties=species:S:1:pos:R:3 pbc="T T T"
As -3.7639 1.1191 -3.2576
Ni -2.2723 1.4558 -1.4718
Gd 0.0000 0.0000 0.0000
```

No. 4
## PdRuRhI2 (GGA-PBE)

Data for a geometry-optimized PdRuRhI2 structure.

Output
E_form (uncorrected) in eV per atom: 1.386

extended XYZ file:
```
5
Lattice="5.2566 0.0000 0.0000 0.0000 4.9721 0.0000 0.0000 0.0000 5.2566" Properties=species:S:1:pos:R:3 pbc="T T T"
Ru 2.6283 2.4860 2.6283
I 2.6283 0.0000 0.0000
I 0.0000 0.0000 2.6283
Pd 0.0000 0.0000 0.0000
Rh 0.0000 2.4860 0.0000
```

No. 5
## Lu2PaHg (GGA-PBE)

Data for a geometry-optimized Lu2PaHg structure.

Output
Distance to the lowest polymorph of the same formula in kJ/mol of atoms: 29.4
E_form in eV/atom: 0.1557

extended XYZ file:
```
4
Lattice="-0.5074 -3.1295 0.8281 1.2940 -2.4045 -1.8113 9.6554 -1.6576 6.1344" Properties=species:S:1:pos:R:3 pbc="T T T"
Lu 7.0220 -1.7101 4.3227
Lu 3.4200 -5.4815 0.8284
Hg 5.2210 -3.5958 2.5756
Pa 0.0000 0.0000 0.0000
```

No. 6
## PIrPb2 (GGA-PBE)

Data for a geometry-optimized PIrPb2 structure.

Output
E_form in eV/atom: 0.5845

extended XYZ file:
```
4
Lattice="-5.2117 0.7419 0.0371 -0.4618 -3.0296 -4.2869 -0.3422 -2.4938 1.7993" Properties=species:S:1:pos:R:3 pbc="T T T"
P -0.4020 -2.7617 -1.2438
Pb 0.0000 0.0000 0.0000
Pb -2.8368 -1.1439 -2.1249
Ir -2.7769 -0.8760 0.9182
```